1.
The following is a PBE-GGA calculation of ReGe2PPb after structural relaxation, from the Alexandria database. Values from VASP.

Values from the calculation:
total DFT energy (no corrections)	-5.731	eV per atom
formation energy	9.9	kcal/mol of atoms
total magnetic moment	0.00	μB per cell
symmetry	No. 123

Quantum ESPRESSO input file:
```
&SYSTEM
  ibrav = 0, nat = 5, ntyp = 4
/
ATOMIC_SPECIES
Re 186.21 Re.upf
Ge 72.64 Ge.upf
P 30.97 P.upf
Pb 207.20 Pb.upf
CELL_PARAMETERS angstrom
5.005 0.000 0.000
0.000 5.005 0.000
0.000 0.000 4.559
ATOMIC_POSITIONS angstrom
Re 0.000 0.000 0.000
Ge 0.000 2.503 0.000
Ge 2.503 0.000 0.000
P 0.000 0.000 2.279
Pb 2.503 2.503 2.279
```



2.
The following is a PBE-GGA calculation of ZnRe2Ni after structural relaxation, from the Alexandria database. Values from VASP.

Values from the calculation:
total DFT energy (no corrections)	-7.582	eV per atom
formation energy	9.4	kcal/mol of atoms
total magnetic moment	0.01	μB per cell
symmetry	No. 123

Quantum ESPRESSO input file:
```
&SYSTEM
  ibrav = 0, nat = 4, ntyp = 3
/
ATOMIC_SPECIES
Zn 65.41 Zn.upf
Re 186.21 Re.upf
Ni 58.69 Ni.upf
CELL_PARAMETERS angstrom
4.516 0.000 0.000
0.000 4.516 0.000
0.000 0.000 2.670
ATOMIC_POSITIONS angstrom
Zn 0.000 0.000 0.000
Re 0.000 2.258 1.335
Re 2.258 0.000 1.335
Ni 2.258 2.258 0.000
```



3.
The following is a PBE-GGA calculation of LiSmAsF after structural relaxation, from the Alexandria database. Values from VASP.

Values from the calculation:
total DFT energy (no corrections)	-5.374	eV per atom
total magnetic moment	0.00	μB per cell
symmetry	No. 129
formation energy without anion corrections	-2.0856	eV per atom

Quantum ESPRESSO input file:
```
&SYSTEM
  ibrav = 0, nat = 8, ntyp = 4
/
ATOMIC_SPECIES
Li 6.94 Li.upf
Sm 150.36 Sm.upf
As 74.92 As.upf
F 19.00 F.upf
CELL_PARAMETERS angstrom
3.918 0.000 0.000
0.000 3.918 0.000
0.000 0.000 9.063
ATOMIC_POSITIONS angstrom
Li 0.980 2.939 0.000
Li 2.939 0.980 0.000
Sm 0.980 0.980 2.965
Sm 2.939 2.939 6.099
As 0.980 0.980 7.358
As 2.939 2.939 1.705
F 0.980 2.939 4.532
F 2.939 0.980 4.532
```



4.
The following is a PBE-GGA calculation of TeAsO2 after structural relaxation, from the Alexandria database. Values from VASP.

Values from the calculation:
total DFT energy (no corrections)	-4.868	eV per atom
total magnetic moment	0.00	μB per cell
symmetry	No. 166
energy above the lowest structure with this stoichiometry	0.000	eV per atom
formation energy without anion corrections	-0.4406	eV per atom

Quantum ESPRESSO input file:
```
&SYSTEM
  ibrav = 0, nat = 4, ntyp = 3
/
ATOMIC_SPECIES
Te 127.60 Te.upf
As 74.92 As.upf
O 16.00 O.upf
CELL_PARAMETERS angstrom
1.679 0.969 6.596
-1.679 0.969 6.596
0.000 -1.939 6.596
ATOMIC_POSITIONS angstrom
Te 0.000 0.000 0.000
As 0.000 0.000 9.894
O 0.000 0.000 2.224
O 0.000 0.000 17.563
```



5.
The following is a PBE-GGA calculation of VAgSn2 after structural relaxation, from the Alexandria database. Values from VASP.

Values from the calculation:
total DFT energy (no corrections)	-4.712	eV per atom
formation energy	6.5	kcal/mol of atoms
total magnetic moment	3.28	μB per cell
symmetry	No. 225
energy above the lowest structure with this stoichiometry	0.060	eV per atom

Quantum ESPRESSO input file:
```
&SYSTEM
  ibrav = 0, nat = 4, ntyp = 3
/
ATOMIC_SPECIES
V 50.94 V.upf
Ag 107.87 Ag.upf
Sn 118.71 Sn.upf
CELL_PARAMETERS angstrom
0.000 3.472 3.472
3.472 0.000 3.472
3.472 3.472 0.000
ATOMIC_POSITIONS angstrom
V 0.000 0.000 0.000
Ag 3.472 3.472 3.472
Sn 1.736 1.736 1.736
Sn 5.208 5.208 5.208
```



6.
The following is a PBE-GGA calculation of CrSbS2 after structural relaxation, from the Alexandria database. Values from VASP.

Values from the calculation:
total DFT energy (no corrections)	-5.831	eV per atom
total magnetic moment	2.97	μB per cell
symmetry	No. 12
formation energy without anion corrections	-0.3308	eV per atom

Quantum ESPRESSO input file:
```
&SYSTEM
  ibrav = 0, nat = 4, ntyp = 3
/
ATOMIC_SPECIES
Cr 52.00 Cr.upf
Sb 121.76 Sb.upf
S 32.06 S.upf
CELL_PARAMETERS angstrom
3.033 -1.693 0.000
3.033 1.693 0.000
-2.253 0.000 7.687
ATOMIC_POSITIONS angstrom
Cr 0.000 0.000 0.000
Sb -1.126 0.000 3.844
S 1.976 0.000 1.331
S 1.837 0.000 6.357
```